Entry A
{"formula": "MnNiW2", "functional": "PBE", "state": "optimized geometry", "lattice_angstrom": [[-1.660, 2.044, 4.048], [1.660, -2.044, 4.048], [1.660, 2.044, -4.048]], "species": ["Mn", "Ni", "W", "W"], "frac_coords": [[0.000, 0.000, 0.000], [0.249, 0.749, 0.500], [0.508, 0.508, 0.000], [0.761, 0.261, 0.500]], "m_tot_mub_per_cell": 0.89}

Entry B
{"formula": "MnNiW2", "functional": "PBE", "state": "optimized geometry", "lattice_angstrom": [[0.000, 3.048, 3.048], [3.048, 0.000, 3.048], [3.048, 3.048, 0.000]], "species": ["Mn", "Ni", "W", "W"], "frac_coords": [[0.000, 0.000, 0.000], [0.250, 0.250, 0.250], [0.500, 0.500, 0.500], [0.750, 0.750, 0.750]], "m_tot_mub_per_cell": 2.66}

The energy of each structure relative to the most stable one, in meV/atom, is as follows: entry A 0; entry B 39.

Entry A
{"formula": "MnNiW2", "functional": "PBE", "state": "optimized geometry", "lattice_angstrom": [[2.651, 0.000, 0.000], [0.000, 2.651, 0.000], [0.000, 0.000, 7.877]], "species": ["Mn", "Ni", "W", "W"], "frac_coords": [[0.000, 0.000, 0.000], [0.000, 0.000, 0.500], [0.500, 0.500, 0.256], [0.500, 0.500, 0.744]], "m_tot_mub_per_cell": 1.65}

Entry B
{"formula": "MnNiW2", "functional": "PBE", "state": "optimized geometry", "lattice_angstrom": [[1.355, 0.783, 8.897], [-1.355, 0.783, 8.897], [0.000, -1.565, 8.897]], "species": ["Mn", "Ni", "W", "W"], "frac_coords": [[0.000, 0.000, 0.000], [0.500, 0.500, 0.500], [0.249, 0.249, 0.249], [0.751, 0.751, 0.751]], "m_tot_mub_per_cell": 1.76}

The energy of each structure relative to the most stable one, in meV/atom, is as follows: entry A 0; entry B 186.

Entry A
{"formula": "MnNiW2", "functional": "PBE", "state": "optimized geometry", "lattice_angstrom": [[1.642, -2.101, 0.000], [1.642, 2.101, 0.000], [0.000, 0.000, 8.112]], "species": ["Mn", "Ni", "W", "W"], "frac_coords": [[0.000, 0.000, 0.000], [0.500, 0.500, 0.775], [0.000, 0.000, 0.534], [0.500, 0.500, 0.252]], "m_tot_mub_per_cell": 2.36}

Entry B
{"formula": "MnNiW2", "functional": "PBE", "state": "optimized geometry", "lattice_angstrom": [[2.695, 0.000, 0.000], [0.000, 3.744, 0.000], [0.000, 0.000, 5.406]], "species": ["Mn", "Ni", "W", "W"], "frac_coords": [[0.000, 0.000, 0.000], [0.000, 0.000, 0.500], [0.500, 0.500, 0.247], [0.500, 0.500, 0.753]], "m_tot_mub_per_cell": 0.98}

Entry C
{"formula": "MnNiW2", "functional": "PBE", "state": "optimized geometry", "lattice_angstrom": [[1.702, -2.042, 0.000], [1.702, 2.042, 0.000], [0.000, 0.000, 7.940]], "species": ["Mn", "Ni", "W", "W"], "frac_coords": [[0.000, 0.000, 0.000], [0.000, 0.000, 0.500], [0.500, 0.500, 0.252], [0.500, 0.500, 0.748]], "m_tot_mub_per_cell": 1.52}

The energy of each structure relative to the most stable one, in meV/atom, is as follows: entry A 0; entry B 22; entry C 6.